Ta2InAs after structural relaxation. Source: Alexandria via LeMat-Bulk, functional GGA-PBEsol.

```
Ta2InAs
1.0
6.5425 0.0000 0.0000
0.0000 6.5425 0.0000
0.0000 0.0000 6.5425
Ta In As
8 4 4
Direct
0.2500 0.2500 0.2500
0.2500 0.2500 0.7500
0.2500 0.7500 0.2500
0.2500 0.7500 0.7500
0.7500 0.2500 0.2500
0.7500 0.2500 0.7500
0.7500 0.7500 0.2500
0.7500 0.7500 0.7500
0.0000 0.0000 0.0000
0.0000 0.5000 0.5000
0.5000 0.0000 0.5000
0.5000 0.5000 0.0000
0.0000 0.0000 0.5000
0.0000 0.5000 0.0000
0.5000 0.0000 0.0000
0.5000 0.5000 0.5000
```

**Distance to the lowest polymorph of the same formula**: 194 meV/atom
**Energy relative to the elements**: 0.25 eV/atom
**Total magnetic moment**: 0.00 μB per cell
**Total energy**: -8.046 eV per atom